DFT (GGA-PBE) results for a geometry-optimized ZrTe3Se structure.

Cell: 5.5496 5.5496 5.5496 Å, 90.00 90.00 90.00°
Closest atoms and distances in Å follow each position.
Fractional positions:
Zr1 0.0000 0.0000 0.0000  6 Te 2.77
Te1 0.0000 0.0000 0.5000  2 Zr 2.77
Te2 0.0000 0.5000 0.0000  2 Zr 2.77
Te3 0.5000 0.0000 0.0000  2 Zr 2.77
Se1 0.5000 0.5000 0.5000  12 Te 3.92

Values from the calculation:
Relative energy among the computed polymorphs, kJ/mol of formula units: 0.0
Formation energy without anion corrections, eV/atom: 0.15
DOS(E_F), states/eV/cell: 7.176

---

DFT (GGA-PBE) results for a geometry-optimized ZrTeSe structure.

Cell: 7.3483 7.3483 7.3483 Å, 153.44 153.44 37.91°
Closest atoms and distances in Å follow each position.
Fractional positions:
Zr1 0.0000 0.0000 0.0000  4 Se 2.79
Te1 0.6513 0.6513 0.0000  4 Zr 3.18, 4 Te 3.38, 1 Se 3.54
Se1 0.3965 0.3965 0.0000  4 Zr 2.79

Values from the calculation:
Relative energy among the computed polymorphs, kJ/mol of formula units: 67.7
Formation energy without anion corrections, eV/atom: -0.88
DOS(E_F), states/eV/cell: 1.850

---

DFT (GGA-PBE) results for a geometry-optimized ZrTe3Se structure.

Cell: 5.3547 5.3547 5.3547 Å, 90.00 90.00 90.00°
Closest atoms and distances in Å follow each position.
Fractional positions:
Zr1 0.0000 0.0000 0.0000  12 Te 3.79
Te1 0.0000 0.5000 0.5000  2 Se 2.68
Te2 0.5000 0.0000 0.5000  2 Se 2.68
Te3 0.5000 0.5000 0.0000  2 Se 2.68
Se1 0.5000 0.5000 0.5000  6 Te 2.68

Values from the calculation:
Relative energy among the computed polymorphs, kJ/mol of formula units: 176.4
Formation energy without anion corrections, eV/atom: 0.52
DOS(E_F), states/eV/cell: 4.750

---

DFT (GGA-PBE) results for a geometry-optimized ZrTeSe2 structure.

Cell: 5.4598 3.8316 5.6237 Å, 90.00 105.71 90.00°
Closest atoms and distances in Å follow each position.
Fractional positions:
Zr1 0.0000 0.0000 0.0000  4 Se 2.75, 2 Te 2.81
Te1 0.0000 0.0000 0.5000  2 Zr 2.81
Se1 0.3706 0.5000 0.1524  1 Se 2.50, 2 Zr 2.75
Se2 0.6294 0.5000 0.8476  1 Se 2.50, 2 Zr 2.75

Values from the calculation:
Formation energy without anion corrections, eV/atom: -0.67
DOS(E_F), states/eV/cell: 1.505

---

DFT (GGA-PBE) results for a geometry-optimized ZrTeSe2 structure.

Cell: 3.7022 3.7022 6.6704 Å, 90.00 90.00 90.00°
Closest atoms and distances in Å follow each position.
Fractional positions:
Zr1 0.0000 0.0000 0.0000  5 Se 2.80-2.82
Te1 0.5000 0.5000 0.7255  1 Se 2.88, 4 Zr 3.19
Se1 0.0000 0.0000 0.4193  1 Zr 2.80
Se2 0.5000 0.5000 0.1571  4 Zr 2.82, 1 Te 2.88, 4 Se 3.15

Values from the calculation:
Formation energy without anion corrections, eV/atom: -0.53
DOS(E_F), states/eV/cell: 2.097

---

DFT (GGA-PBE) results for a geometry-optimized ZrTeSe2 structure.

Cell: 6.3576 6.3576 5.2662 Å, 101.93 101.93 33.91°
Closest atoms and distances in Å follow each position.
Fractional positions:
Zr1 0.0000 0.0000 0.0000  4 Se 2.72
Te1 0.5000 0.5000 0.5000  2 Se 2.80
Se1 0.3400 0.3400 0.8115  2 Zr 2.72, 1 Te 2.80
Se2 0.6600 0.6600 0.1885  2 Zr 2.72, 1 Te 2.80

Values from the calculation:
Formation energy without anion corrections, eV/atom: -0.67
DOS(E_F), states/eV/cell: 0.557

---

DFT (GGA-PBE) results for a geometry-optimized ZrTeSe2 structure.

Cell: 4.0757 4.9501 5.2288 Å, 90.00 111.12 90.00°
Closest atoms and distances in Å follow each position.
Fractional positions:
Zr1 0.0000 0.0000 0.0000  5 Se 2.67-2.98
Te1 0.4015 0.5000 0.7917  2 Se 2.68-2.73
Se1 0.2174 0.5000 0.2354  2 Te 2.68-2.73, 2 Zr 2.76
Se2 0.7208 0.0000 0.3899  3 Zr 2.67-2.98

Values from the calculation:
Formation energy without anion corrections, eV/atom: -0.57
DOS(E_F), states/eV/cell: 0.585

---

DFT (GGA-PBE) results for a geometry-optimized ZrTeSe2 structure.

Cell: 9.3582 9.3582 9.3582 Å, 22.78 22.78 22.78°
Closest atoms and distances in Å follow each position.
Fractional positions:
Zr1 0.0000 0.0000 0.0000  6 Se 2.71
Te1 0.5000 0.5000 0.5000  2 Se 2.89
Se1 0.3943 0.3943 0.3943  3 Zr 2.71, 1 Te 2.89
Se2 0.6057 0.6057 0.6057  3 Zr 2.71, 1 Te 2.89

Values from the calculation:
Formation energy without anion corrections, eV/atom: -0.77
DOS(E_F), states/eV/cell: 2.784

---

DFT (GGA-PBE) results for a geometry-optimized ZrTeSe2 structure.

Cell: 5.2292 5.2292 5.9357 Å, 102.15 102.15 41.48°
Closest atoms and distances in Å follow each position.
Fractional positions:
Zr1 0.0000 0.0000 0.0000  5 Se 2.73-2.88, 2 Te 3.00
Te1 0.3481 0.3481 0.6288  1 Se 2.65
Se1 0.5249 0.5249 0.3492  1 Te 2.65, 2 Zr 2.75
Se2 0.7046 0.7046 0.9966  3 Zr 2.73-2.88, 1 Se 3.02

Values from the calculation:
Formation energy without anion corrections, eV/atom: -0.82
DOS(E_F), states/eV/cell: 0.778

---

DFT (GGA-PBE) results for a geometry-optimized Zr3Te4Se2 structure.

Cell: 3.8530 3.8530 22.3639 Å, 90.00 90.00 120.00°
Closest atoms and distances in Å follow each position.
Fractional positions:
Zr1 0.0000 0.0000 0.0000  6 Se 2.77
Zr2 0.3333 0.6667 0.3181  6 Te 2.92
Zr3 0.3333 0.6667 0.6819  6 Te 2.92
Te1 0.0000 0.0000 0.2336  3 Zr 2.92
Te2 0.0000 0.0000 0.4028  3 Zr 2.92
Te3 0.0000 0.0000 0.5972  3 Zr 2.92
Te4 0.0000 0.0000 0.7664  3 Zr 2.92
Se1 0.3333 0.6667 0.0740  3 Zr 2.77
Se2 0.3333 0.6667 0.9260  3 Zr 2.77

Values from the calculation:
Formation energy without anion corrections, eV/atom: -0.90
DOS(E_F), states/eV/cell: 2.535

---

DFT (GGA-PBE) results for a geometry-optimized ZrTeSe3 structure.

Cell: 5.2547 5.2547 5.2547 Å, 90.00 90.00 90.00°
Closest atoms and distances in Å follow each position.
Fractional positions:
Zr1 0.0000 0.0000 0.0000  12 Se 3.72
Te1 0.5000 0.5000 0.5000  6 Se 2.63
Se1 0.0000 0.5000 0.5000  2 Te 2.63
Se2 0.5000 0.0000 0.5000  2 Te 2.63
Se3 0.5000 0.5000 0.0000  2 Te 2.63

Values from the calculation:
Relative energy among the computed polymorphs, kJ/mol of formula units: 353.3
Formation energy without anion corrections, eV/atom: 0.51
DOS(E_F), states/eV/cell: 6.128

---

DFT (GGA-PBE) results for a geometry-optimized ZrTeSe2 structure.

Cell: 6.7100 6.7100 6.7100 Å, 147.78 134.38 56.95°
Closest atoms and distances in Å follow each position.
Fractional positions:
Zr1 0.0000 0.0000 0.0000  4 Se 2.69
Te1 0.5000 0.5000 0.0000  4 Zr 3.20, 4 Se 3.24
Se1 0.1643 0.6643 0.5000  2 Zr 2.69
Se2 0.8357 0.3357 0.5000  2 Zr 2.69

Values from the calculation:
Formation energy without anion corrections, eV/atom: -0.52
DOS(E_F), states/eV/cell: 2.325